A plane-wave DFT calculation with PBE was carried out for a geometry-optimized PmPrSi4 structure.

a b c (Å): 7.4704 7.4704 7.4704
angles (deg): 146.74 146.74 47.75
Positions (direct):
1 Pm 0.0000 0.0000 0.0000
2 Pr 0.2500 0.7500 0.5000
3 Si 0.4150 0.4150 0.0000
4 Si 0.5850 0.5850 0.0000
5 Si 0.6640 0.1640 0.5000
6 Si 0.8360 0.3360 0.5000

Results
* E_form (uncorrected): -0.595 eV per atom
* V: 20.815 A^3/atom
* VASP energy: -5.80 eV per atom
* space-group type: I-4m2, No. 119
* relative energy among the computed polymorphs: 0 meV per atom



A plane-wave DFT calculation with PBE was carried out for a geometry-optimized Pm4PrSi4 structure.

a b c (Å): 9.1583 9.1583 5.9551
angles (deg): 90.00 90.00 90.00
Positions (direct):
1 Pm 0.0637 0.6648 0.1213
2 Pm 0.1648 0.9363 0.6213
3 Pm 0.3352 0.5637 0.6213
4 Pm 0.4363 0.8352 0.1213
5 Pm 0.5637 0.1648 0.8787
6 Pm 0.6648 0.4363 0.3787
7 Pm 0.8352 0.0637 0.3787
8 Pm 0.9363 0.3352 0.8787
9 Pr 0.2500 0.2500 0.2500
10 Pr 0.7500 0.7500 0.7500
11 Si 0.0204 0.6123 0.6121
12 Si 0.1123 0.9796 0.1121
13 Si 0.3877 0.5204 0.1121
14 Si 0.4796 0.8877 0.6121
15 Si 0.5204 0.1123 0.3879
16 Si 0.6123 0.4796 0.8879
17 Si 0.8877 0.0204 0.8879
18 Si 0.9796 0.3877 0.3879

Results
* E_form (uncorrected): -0.442 eV per atom
* V: 27.749 A^3/atom
* VASP energy: -5.49 eV per atom
* space-group type: P4_2/n, No. 86